(P)
A geometry-optimized RePbOF2 structure. Source: the Alexandria database, functional GGA-PBE.

Unit cell a=4.5299 b=4.5299 c=3.7808 alpha=90.00 beta=90.00 gamma=90.00
Fractional positions:
F: 0.5000 0.0000 0.0000
F: 0.0000 0.5000 0.0000
O: 0.0000 0.0000 0.5000
Re: 0.0000 0.0000 0.0000
Pb: 0.5000 0.5000 0.5000

## Properties
Space-group type = No. 123
Size of the total moment = 0.000 μB/atom

---

(Q)
A geometry-optimized RePbOF2 structure. Source: the Alexandria database, functional GGA-PBE.

Unit cell a=4.7289 b=4.7289 c=4.3218 alpha=90.00 beta=90.00 gamma=90.00
Each line ends with the local moment (μB).
Fractional positions:
O: 0.0000 0.0000 0.5000  0.11
Re: 0.5000 0.5000 0.5000  4.51
Pb: 0.0000 0.0000 0.0000  -0.01
F: 0.5000 0.0000 0.0000  0.07
F: 0.0000 0.5000 0.0000  0.07

## Properties
Space-group type = No. 123
Size of the total moment = 1.179 μB/atom

---

So which one wins? Going from most stable to least: (P), (Q).

---

(P)
A geometry-optimized RuPbOF2 structure. Source: the Alexandria database, functional GGA-PBE.

Unit cell a=3.8489 b=5.9783 c=3.8489 alpha=90.00 beta=90.00 gamma=90.00
Each line ends with the local moment (μB).
Fractional positions:
F: 0.0000 0.0000 0.5000  0.06
F: 0.5000 0.0000 0.0000  0.17
Pb: 0.0000 0.5000 0.0000  0.01
O: 0.5000 0.5000 0.5000  0.16
Ru: 0.0000 0.0000 0.0000  1.41

## Properties
Space-group type = No. 123
Size of the total moment = 0.376 μB/atom

---

(Q)
A geometry-optimized RuPbOF2 structure. Source: the Alexandria database, functional GGA-PBE.

Unit cell a=4.5853 b=4.5853 c=3.7013 alpha=90.00 beta=90.00 gamma=90.00
Fractional positions:
O: 0.0000 0.0000 0.5000
Ru: 0.0000 0.0000 0.0000
F: 0.5000 0.0000 0.0000
F: 0.0000 0.5000 0.0000
Pb: 0.5000 0.5000 0.5000

## Properties
Space-group type = No. 123
Size of the total moment = 0.000 μB/atom

---

So which one wins? Going from most stable to least: (Q), (P).

---

(P)
A geometry-optimized SbPbOF2 structure. Source: the Alexandria database, functional GGA-PBE.

Unit cell a=4.5621 b=4.5621 c=4.5508 alpha=90.00 beta=90.00 gamma=90.00
Fractional positions:
O: 0.0000 0.0000 0.5000
F: 0.0000 0.5000 0.0000
F: 0.5000 0.0000 0.0000
Sb: 0.0000 0.0000 0.0000
Pb: 0.5000 0.5000 0.5000

## Properties
Space-group type = No. 123
Size of the total moment = 0.000 μB/atom

---

(Q)
A geometry-optimized SbPbOF2 structure. Source: the Alexandria database, functional GGA-PBE.

Unit cell a=4.6200 b=4.6200 c=4.5948 alpha=90.00 beta=90.00 gamma=90.00
Each line ends with the local moment (μB).
Fractional positions:
F: 0.0000 0.5000 0.0000  0.05
F: 0.5000 0.0000 0.0000  0.05
Pb: 0.0000 0.0000 0.0000  -0.01
Sb: 0.5000 0.5000 0.5000  0.59
O: 0.0000 0.0000 0.5000  -0.11

## Properties
Space-group type = No. 123
Size of the total moment = 0.267 μB/atom

---

So which one wins? Going from most stable to least: (P), (Q).

---

(P)
A geometry-optimized PbSeOF2 structure. Source: the Alexandria database, functional GGA-PBE.

Unit cell a=4.6459 b=4.6459 c=4.2963 alpha=90.00 beta=90.00 gamma=90.00
Each line ends with the local moment (μB).
Fractional positions:
F: 0.5000 0.0000 0.0000  0.07
F: 0.0000 0.5000 0.0000  0.07
O: 0.0000 0.0000 0.5000  0.23
Se: 0.5000 0.5000 0.5000  1.47
Pb: 0.0000 0.0000 0.0000  -0.01

## Properties
Space-group type = No. 123
Size of the total moment = 0.545 μB/atom

---

(Q)
A geometry-optimized PbSeOF2 structure. Source: the Alexandria database, functional GGA-PBE.

Unit cell a=4.7495 b=4.7495 c=3.8349 alpha=90.00 beta=90.00 gamma=90.00
Fractional positions:
F: 0.5000 0.0000 0.0000
F: 0.0000 0.5000 0.0000
Se: 0.0000 0.0000 0.0000
Pb: 0.5000 0.5000 0.5000
O: 0.0000 0.0000 0.5000

## Properties
Space-group type = No. 123
Size of the total moment = 0.000 μB/atom

---

So which one wins? Going from most stable to least: (Q), (P).